! PBE PmNd2HoEr, optimized geometry; values from VASP
&SYSTEM
  ibrav = 0, nat = 10, ntyp = 4
/
ATOMIC_SPECIES
Pm 145.00 Pm.upf
Nd 144.24 Nd.upf
Ho 164.93 Ho.upf
Er 167.26 Er.upf
CELL_PARAMETERS angstrom
8.2025 0.0000 0.0000
0.0000 6.7705 0.0000
-0.0129 0.0000 6.1839
ATOMIC_POSITIONS crystal
Pm 0.0000 0.0000 0.0000
Pm 0.0000 0.0000 0.5000
Nd 0.3043 0.3087 0.2492
Nd 0.3043 0.6913 0.7492
Nd 0.6957 0.3087 0.2508
Nd 0.6957 0.6913 0.7508
Ho 0.5000 0.1565 0.7500
Ho 0.5000 0.8435 0.2500
Er 0.0000 0.4185 0.7500
Er 0.0000 0.5815 0.2500
! ΔE_f ... 6.24 kcal/mol of atoms
! Raw total energy ... -4.41 eV/atom
! Symmetry ... No. 13
! Fermi-level density of states ... 11.5 states/eV/cell



! PBE LiScMo2, optimized geometry; values from VASP
&SYSTEM
  ibrav = 0, nat = 8, ntyp = 3
/
ATOMIC_SPECIES
Li 6.94 Li.upf
Sc 44.96 Sc.upf
Mo 95.94 Mo.upf
CELL_PARAMETERS angstrom
3.2166 0.0000 0.0000
0.0000 4.6887 0.0000
0.0000 0.0000 9.4553
ATOMIC_POSITIONS crystal
Li 0.0000 0.0000 0.0000
Li 0.5000 0.5000 0.0000
Sc 0.0000 0.5000 0.2882
Sc 0.5000 0.0000 0.2882
Mo 0.0000 0.0000 0.5375
Mo 0.0000 0.5000 0.7531
Mo 0.5000 0.0000 0.7531
Mo 0.5000 0.5000 0.5375
! ΔE_f ... 5.46 kcal/mol of atoms
! Raw total energy ... -7.24 eV/atom
! Symmetry ... No. 35
! Fermi-level density of states ... 9.1 states/eV/cell



! PBE K2Ga2P3, optimized geometry; values from VASP
&SYSTEM
  ibrav = 0, nat = 28, ntyp = 3
/
ATOMIC_SPECIES
K 39.10 K.upf
Ga 69.72 Ga.upf
P 30.97 P.upf
CELL_PARAMETERS angstrom
8.0325 -7.1745 0.0000
8.0325 7.1745 0.0000
-2.8096 0.0000 6.2615
ATOMIC_POSITIONS crystal
K 0.0712 0.9288 0.7500
K 0.2075 0.7925 0.2500
K 0.3099 0.4869 0.8700
K 0.4869 0.3099 0.3700
K 0.5131 0.6901 0.6300
K 0.6901 0.5131 0.1300
K 0.7925 0.2075 0.7500
K 0.9288 0.0712 0.2500
Ga 0.0212 0.5939 0.3734
Ga 0.1534 0.2930 0.1387
Ga 0.2930 0.1534 0.6387
Ga 0.4061 0.9788 0.1266
Ga 0.5939 0.0212 0.8734
Ga 0.7070 0.8466 0.3613
Ga 0.8466 0.7070 0.8613
Ga 0.9788 0.4061 0.6266
P 0.0397 0.6309 0.7435
P 0.0986 0.2330 0.7552
P 0.2330 0.0986 0.2552
P 0.2354 0.5065 0.3433
P 0.3691 0.9603 0.7565
P 0.4935 0.7646 0.1567
P 0.5065 0.2354 0.8433
P 0.6309 0.0397 0.2435
P 0.7646 0.4935 0.6567
P 0.7670 0.9014 0.7448
P 0.9014 0.7670 0.2448
P 0.9603 0.3691 0.2565
! ΔE_f ... -7.31 kcal/mol of atoms
! Raw total energy ... -3.81 eV/atom
! Symmetry ... No. 15
! Fermi-level density of states ... 13.1 states/eV/cell



! PBE YEr2Ni2, optimized geometry; values from VASP
&SYSTEM
  ibrav = 0, nat = 10, ntyp = 3
/
ATOMIC_SPECIES
Y 88.91 Y.upf
Er 167.26 Er.upf
Ni 58.69 Ni.upf
CELL_PARAMETERS angstrom
1.8270 -13.1949 0.0000
1.8270 13.1949 0.0000
0.0000 0.0000 4.5569
ATOMIC_POSITIONS crystal
Y 0.1346 0.8654 0.7500
Y 0.8654 0.1346 0.2500
Er 0.2296 0.7704 0.2500
Er 0.4493 0.5507 0.7500
Er 0.5507 0.4493 0.2500
Er 0.7704 0.2296 0.7500
Ni 0.0267 0.9733 0.7500
Ni 0.3443 0.6557 0.7500
Ni 0.6557 0.3443 0.2500
Ni 0.9733 0.0267 0.2500
! ΔE_f ... -6.84 kcal/mol of atoms
! Raw total energy ... -5.73 eV/atom
! Symmetry ... No. 63
! Fermi-level density of states ... 7.4 states/eV/cell



! PBE Tl2SiSn, optimized geometry; values from VASP
&SYSTEM
  ibrav = 0, nat = 16, ntyp = 3
/
ATOMIC_SPECIES
Tl 204.38 Tl.upf
Si 28.09 Si.upf
Sn 118.71 Sn.upf
CELL_PARAMETERS angstrom
7.4803 0.0000 0.0000
0.0000 7.4803 0.0000
0.0000 0.0000 7.4803
ATOMIC_POSITIONS crystal
Tl 0.2500 0.2500 0.2500
Tl 0.2500 0.2500 0.7500
Tl 0.2500 0.7500 0.2500
Tl 0.2500 0.7500 0.7500
Tl 0.7500 0.2500 0.2500
Tl 0.7500 0.2500 0.7500
Tl 0.7500 0.7500 0.2500
Tl 0.7500 0.7500 0.7500
Si 0.0000 0.0000 0.0000
Si 0.0000 0.5000 0.5000
Si 0.5000 0.0000 0.5000
Si 0.5000 0.5000 0.0000
Sn 0.0000 0.0000 0.5000
Sn 0.0000 0.5000 0.0000
Sn 0.5000 0.0000 0.0000
Sn 0.5000 0.5000 0.5000
! Raw total energy ... -3.14 eV/atom
! Formation energy (no corrections) ... 401 meV per atom
! Symmetry ... No. 225
! Fermi-level density of states ... 8.5 states/eV/cell



! PBE Zr2MnW, optimized geometry; values from VASP
&SYSTEM
  ibrav = 0, nat = 8, ntyp = 3
/
ATOMIC_SPECIES
Zr 91.22 Zr.upf
Mn 54.94 Mn.upf
W 183.84 W.upf
CELL_PARAMETERS angstrom
3.2500 0.0000 0.0000
0.0000 4.8305 0.0000
0.0000 0.0000 8.9156
ATOMIC_POSITIONS crystal
Zr 0.0000 0.0000 0.2319
Zr 0.0000 0.0000 0.7681
Zr 0.5000 0.5000 0.2681
Zr 0.5000 0.5000 0.7319
Mn 0.0000 0.5000 0.5000
Mn 0.5000 0.0000 0.0000
W 0.0000 0.5000 0.0000
W 0.5000 0.0000 0.5000
! ΔE_f ... 5.81 kcal/mol of atoms
! Raw total energy ... -9.55 eV/atom
! Symmetry ... No. 71
! Fermi-level density of states ... 8.8 states/eV/cell



! PBE Cr4Te5, optimized geometry; values from VASP
&SYSTEM
  ibrav = 0, nat = 18, ntyp = 2
/
ATOMIC_SPECIES
Cr 52.00 Cr.upf
Te 127.60 Te.upf
CELL_PARAMETERS angstrom
8.1055 0.0000 0.0000
-4.0527 7.0195 0.0000
0.0000 0.0000 7.5445
ATOMIC_POSITIONS crystal
Cr 0.0000 0.0000 0.0000
Cr 0.0000 0.0000 0.5000
Cr 0.0000 0.4172 0.2500
Cr 0.0000 0.5828 0.7500
Cr 0.4172 0.0000 0.2500
Cr 0.4172 0.4172 0.7500
Cr 0.5828 0.0000 0.7500
Cr 0.5828 0.5828 0.2500
Te 0.0000 0.2459 0.7500
Te 0.0000 0.7541 0.2500
Te 0.2459 0.0000 0.7500
Te 0.2459 0.2459 0.2500
Te 0.3333 0.6667 0.0000
Te 0.3333 0.6667 0.5000
Te 0.6667 0.3333 0.0000
Te 0.6667 0.3333 0.5000
Te 0.7541 0.0000 0.2500
Te 0.7541 0.7541 0.7500
! Raw total energy ... -5.90 eV/atom
! Formation energy (no corrections) ... 127 meV per atom
! Symmetry ... No. 193
! Fermi-level density of states ... 8.5 states/eV/cell



! PBE Hf2Ga2Ni7Ir, optimized geometry; values from VASP
&SYSTEM
  ibrav = 0, nat = 12, ntyp = 4
/
ATOMIC_SPECIES
Hf 178.49 Hf.upf
Ga 69.72 Ga.upf
Ni 58.69 Ni.upf
Ir 192.22 Ir.upf
CELL_PARAMETERS angstrom
2.4149 -2.4145 0.0000
2.4149 2.4145 0.0000
-2.3462 0.0000 14.8364
ATOMIC_POSITIONS crystal
Hf 0.1287 0.1287 0.2643
Hf 0.8713 0.8713 0.7357
Ga 0.3098 0.3098 0.6149
Ga 0.6902 0.6902 0.3851
Ni 0.0000 0.0000 0.0000
Ni 0.0630 0.5630 0.1306
Ni 0.2249 0.2249 0.4514
Ni 0.4370 0.9370 0.8694
Ni 0.5630 0.0630 0.1306
Ni 0.7751 0.7751 0.5486
Ni 0.9370 0.4370 0.8694
Ir 0.5000 0.5000 0.0000
! ΔE_f ... -2.21 kcal/mol of atoms
! Raw total energy ... -6.37 eV/atom
! Symmetry ... No. 12
! Fermi-level density of states ... 13.8 states/eV/cell



! PBE CaSc3Cd4, optimized geometry; values from VASP
&SYSTEM
  ibrav = 0, nat = 16, ntyp = 3
/
ATOMIC_SPECIES
Ca 40.08 Ca.upf
Sc 44.96 Sc.upf
Cd 112.41 Cd.upf
CELL_PARAMETERS angstrom
10.1727 0.0000 0.0000
0.0000 7.2348 0.0000
0.0000 0.0000 5.0859
ATOMIC_POSITIONS crystal
Ca 0.0000 0.0000 0.0000
Ca 0.5000 0.0000 0.0000
Sc 0.0000 0.5000 0.0000
Sc 0.2500 0.0000 0.4993
Sc 0.2500 0.5000 0.4989
Sc 0.5000 0.5000 0.0000
Sc 0.7500 0.0000 0.5007
Sc 0.7500 0.5000 0.5011
Cd 0.0000 0.2636 0.5000
Cd 0.0000 0.7364 0.5000
Cd 0.2500 0.2636 0.9989
Cd 0.2500 0.7364 0.9989
Cd 0.5000 0.2636 0.5000
Cd 0.5000 0.7364 0.5000
Cd 0.7500 0.2636 0.0011
Cd 0.7500 0.7364 0.0011
! ΔE_f ... -6.52 kcal/mol of atoms
! Raw total energy ... -3.36 eV/atom
! Symmetry ... No. 51
! Fermi-level density of states ... 11.4 states/eV/cell



! PBE CeHoEr, optimized geometry; values from VASP
&SYSTEM
  ibrav = 0, nat = 3, ntyp = 3
/
ATOMIC_SPECIES
Ce 140.12 Ce.upf
Ho 164.93 Ho.upf
Er 167.26 Er.upf
CELL_PARAMETERS angstrom
3.4935 0.0000 0.0000
-1.7468 3.0255 0.0000
0.0000 0.0000 8.5716
ATOMIC_POSITIONS crystal
Ce 0.0000 0.0000 0.0000
Ho 0.3333 0.6667 0.6684
Er 0.6667 0.3333 0.3304
! ΔE_f ... 1.42 kcal/mol of atoms
! Raw total energy ... -4.96 eV/atom
! Symmetry ... No. 156
! Fermi-level density of states ... 6.4 states/eV/cell